# 1
Density functional theory data (PBE-GGA) for an optimized crystal structure of LiTaAlOs.

POSCAR file:
```
LiTaAlOs
1.0
0.000 3.081 3.081
3.081 0.000 3.081
3.081 3.081 0.000
Li Ta Al Os
1 1 1 1
direct
0.000 0.000 0.000 Li
0.250 0.250 0.250 Ta
0.750 0.750 0.750 Al
0.500 0.500 0.500 Os
```

Computed properties:
The calculation puts the energy above the most stable polymorph in this dataset at 0 meV/atom. For the density, the calculation gives 11.5 g cm⁻³. As for the space-group type: F-43m. The value obtained for the uncorrected energy is -7.5652 eV/atom. For the total magnetization, the calculation gives 0.01 μB per formula unit.

# 2
Density functional theory data (PBE-GGA) for an optimized crystal structure of BeInPd.

POSCAR file:
```
BeInPd
1.0
0.000 3.003 3.003
3.003 0.000 3.003
3.003 3.003 0.000
Be In Pd
1 1 1
direct
0.000 0.000 0.000 Be
0.500 0.500 0.500 In
0.250 0.250 0.250 Pd
```

Computed properties:
The calculation puts the energy above the most stable polymorph in this dataset at 0 meV/atom. For the density, the calculation gives 7.1 g cm⁻³. As for the space-group type: F-43m. The value obtained for the uncorrected energy is -3.8997 eV/atom.

# 3
Density functional theory data (PBE-GGA) for an optimized crystal structure of Y2Mg3Cu.

POSCAR file:
```
Y2Mg3Cu
1.0
5.783 0.000 0.000
-2.891 5.008 0.000
0.000 0.000 5.745
Y Mg Cu
2 3 1
direct
0.333 0.667 0.000 Y
0.667 0.333 0.000 Y
0.000 0.500 0.500 Mg
0.500 0.000 0.500 Mg
0.500 0.500 0.500 Mg
0.000 0.000 0.000 Cu
```

Computed properties:
For the density, the calculation gives 3.1 g cm⁻³. As for the space-group type: P6/mmm. The value obtained for the uncorrected energy is -3.1479 eV/atom. For the total magnetization, the calculation gives 0.53 μB per formula unit.

# 4
Density functional theory data (PBE-GGA) for an optimized crystal structure of AlH6OsPt.

POSCAR file:
```
AlH6OsPt
1.0
0.000 3.200 3.200
3.200 0.000 3.200
3.200 3.200 0.000
Al H Os Pt
1 6 1 1
direct
0.000 0.000 0.000 Al
0.032 0.032 0.468 H
0.032 0.468 0.032 H
0.032 0.468 0.468 H
0.468 0.032 0.032 H
0.468 0.032 0.468 H
0.468 0.468 0.032 H
0.500 0.500 0.500 Os
0.750 0.750 0.750 Pt
```

Computed properties:
For the density, the calculation gives 10.6 g cm⁻³. As for the space-group type: F-43m. The value obtained for the uncorrected energy is -3.9912 eV/atom. For the total magnetization, the calculation gives 0.01 μB per formula unit.

# 5
Density functional theory data (PBE-GGA) for an optimized crystal structure of BaTmSc.

POSCAR file:
```
BaTmSc
1.0
0.000 3.929 3.929
3.929 0.000 3.929
3.929 3.929 0.000
Ba Tm Sc
1 1 1
direct
0.000 0.000 0.000 Ba
0.500 0.500 0.500 Tm
0.250 0.250 0.250 Sc
```

Computed properties:
The calculation puts the energy above the most stable polymorph in this dataset at 0 meV/atom. For the density, the calculation gives 4.8 g cm⁻³. As for the space-group type: F-43m. The value obtained for the uncorrected energy is -3.3886 eV/atom. For the total magnetization, the calculation gives 0.86 μB per formula unit.

# 6
Density functional theory data (PBE-GGA) for an optimized crystal structure of Nd4Ge7.

POSCAR file:
```
Nd4Ge7
1.0
3.012 -7.006 0.000
3.012 7.006 0.000
0.000 0.000 12.065
Nd Ge
8 14
direct
0.005 0.995 0.750 Nd
0.018 0.508 0.120 Nd
0.486 0.486 0.500 Nd
0.492 0.982 0.380 Nd
0.508 0.018 0.880 Nd
0.514 0.514 0.000 Nd
0.982 0.492 0.620 Nd
0.995 0.005 0.250 Nd
0.070 0.894 0.489 Ge
0.081 0.426 0.372 Ge
0.106 0.930 0.011 Ge
0.180 0.474 0.837 Ge
0.426 0.081 0.628 Ge
0.439 0.561 0.250 Ge
0.474 0.180 0.163 Ge
0.526 0.820 0.663 Ge
0.561 0.439 0.750 Ge
0.574 0.919 0.128 Ge
0.820 0.526 0.337 Ge
0.894 0.070 0.511 Ge
0.919 0.574 0.872 Ge
0.930 0.106 0.989 Ge
```

Computed properties:
For the density, the calculation gives 7.1 g cm⁻³. As for the space-group type: C222_1. The value obtained for the uncorrected energy is -5.4004 eV/atom. For the total magnetization, the calculation gives 0.00 μB per formula unit.

# 7
Density functional theory data (PBE-GGA) for an optimized crystal structure of Ho2Sc2CICl4.

POSCAR file:
```
Ho2Sc2CICl4
1.0
9.346 -1.840 0.000
9.346 1.840 0.000
-1.896 0.000 8.264
Ho Sc C I Cl
2 2 1 1 4
direct
0.000 0.000 0.192 Ho
0.000 0.000 0.808 Ho
0.379 0.379 0.939 Sc
0.621 0.621 0.061 Sc
0.500 0.500 0.000 C
0.500 0.500 0.500 I
0.150 0.150 0.281 Cl
0.152 0.152 0.870 Cl
0.848 0.848 0.130 Cl
0.850 0.850 0.719 Cl
```

Computed properties:
The calculation puts the energy above the most stable polymorph in this dataset at 0 meV/atom. For the density, the calculation gives 4.1 g cm⁻³. As for the space-group type: C2/m. The value obtained for the uncorrected energy is -5.5512 eV/atom. For the total magnetization, the calculation gives 0.01 μB per formula unit.

# 8
Density functional theory data (PBE-GGA) for an optimized crystal structure of MgCdGaCu.

POSCAR file:
```
MgCdGaCu
1.0
0.000 3.278 3.278
3.278 0.000 3.278
3.278 3.278 0.000
Mg Cd Ga Cu
1 1 1 1
direct
0.000 0.000 0.000 Mg
0.750 0.750 0.750 Cd
0.250 0.250 0.250 Ga
0.500 0.500 0.500 Cu
```

Computed properties:
The calculation puts the energy above the most stable polymorph in this dataset at 0 meV/atom. For the density, the calculation gives 6.4 g cm⁻³. As for the space-group type: F-43m. The value obtained for the uncorrected energy is -2.2743 eV/atom.